# ErTcGe2 PBE relaxed
data_ErTcGe2
_chemical_formula_sum 'Er1 Tc1 Ge2'
_cell_length_a 3.2251
_cell_length_b 3.2251
_cell_length_c 6.8157
_cell_angle_alpha 90.00
_cell_angle_beta 90.00
_cell_angle_gamma 90.00
_space_group_name_H-M_alt 'P 1'
_space_group_IT_number 1
loop_
_space_group_symop_operation_xyz
'x,y,z'
loop_
_atom_site_label
_atom_site_type_symbol
_atom_site_fract_x
_atom_site_fract_y
_atom_site_fract_z
_atom_site_occupancy
Er1 Er 0.0000 0.0000 0.0000 1
Tc1 Tc 0.0000 0.0000 0.5000 1
Ge1 Ge 0.5000 0.5000 0.2968 1
Ge2 Ge 0.5000 0.5000 0.7032 1
# space-group type	No. 123
# V	71	Å³ per cell
# excess energy over the best structure of this formula in the dataset	144	meV per atom